(1)
# PBE-GGA RbPuBi2, relaxed
data_RbPuBi2
_chemical_formula_sum 'Rb1 Pu1 Bi2'
_space_group_name_H-M_alt 'P 1'
_space_group_IT_number 1
_cell_length_a 4.865
_cell_length_b 4.865
_cell_length_c 8.709
_cell_angle_alpha 73.78
_cell_angle_beta 73.78
_cell_angle_gamma 60.00
loop_
_space_group_symop_operation_xyz
'x,y,z'
loop_
_atom_site_label
_atom_site_type_symbol
_atom_site_fract_x
_atom_site_fract_y
_atom_site_fract_z
Bi1 Bi 0.726 0.726 0.822
Bi2 Bi 0.274 0.274 0.178
Pu1 Pu 0.000 0.000 0.000
Rb1 Rb 0.500 0.500 0.500
# ΔH_f (0 K), meV/atom: -151
# Polymorph energy (0 for the lowest one), eV/atom: 0.191

(2)
# PBE-GGA RbPuBi2, relaxed
data_RbPuBi2
_chemical_formula_sum 'Rb1 Pu1 Bi2'
_space_group_name_H-M_alt 'P 1'
_space_group_IT_number 1
_cell_length_a 4.790
_cell_length_b 4.790
_cell_length_c 8.974
_cell_angle_alpha 74.52
_cell_angle_beta 74.52
_cell_angle_gamma 60.00
loop_
_space_group_symop_operation_xyz
'x,y,z'
loop_
_atom_site_label
_atom_site_type_symbol
_atom_site_fract_x
_atom_site_fract_y
_atom_site_fract_z
Rb1 Rb 0.498 0.498 0.507
Bi1 Bi 0.061 0.061 0.817
Bi2 Bi 0.274 0.274 0.179
Pu1 Pu 0.668 0.668 0.997
# ΔH_f (0 K), meV/atom: -135
# Polymorph energy (0 for the lowest one), eV/atom: 0.207

(3)
# PBE-GGA Rb3Pu3BiSe8, relaxed
data_Rb3Pu3BiSe8
_chemical_formula_sum 'Rb3 Pu3 Bi1 Se8'
_space_group_name_H-M_alt 'P 1'
_space_group_IT_number 1
_cell_length_a 8.542
_cell_length_b 8.544
_cell_length_c 12.752
_cell_angle_alpha 132.01
_cell_angle_beta 90.00
_cell_angle_gamma 119.99
loop_
_space_group_symop_operation_xyz
'x,y,z'
loop_
_atom_site_label
_atom_site_type_symbol
_atom_site_fract_x
_atom_site_fract_y
_atom_site_fract_z
Rb1 Rb 0.000 0.500 0.000
Se1 Se 0.530 0.574 0.308
Rb2 Rb 0.500 0.500 0.000
Pu1 Pu 0.500 0.000 0.500
Pu2 Pu 0.500 0.500 0.500
Se2 Se 0.961 0.921 0.696
Se3 Se 0.459 0.917 0.688
Rb3 Rb 0.000 0.000 0.000
Se4 Se 0.541 0.083 0.312
Se5 Se 0.956 0.426 0.692
Se6 Se 0.044 0.574 0.308
Se7 Se 0.470 0.426 0.692
Bi1 Bi 0.000 0.000 0.500
Se8 Se 0.039 0.079 0.304
Pu3 Pu 0.000 0.500 0.500
# Uncorrected formation energy, eV per atom: -1.25

(4)
# PBE-GGA Rb3PuBi2Se6, relaxed
data_Rb3PuBi2Se6
_chemical_formula_sum 'Rb3 Pu1 Bi2 Se6'
_space_group_name_H-M_alt 'P 1'
_space_group_IT_number 1
_cell_length_a 7.561
_cell_length_b 7.561
_cell_length_c 8.377
_cell_angle_alpha 98.65
_cell_angle_beta 98.65
_cell_angle_gamma 120.02
loop_
_space_group_symop_operation_xyz
'x,y,z'
loop_
_atom_site_label
_atom_site_type_symbol
_atom_site_fract_x
_atom_site_fract_y
_atom_site_fract_z
Rb1 Rb 0.500 0.500 0.500
Bi1 Bi 0.666 0.334 0.000
Rb2 Rb 0.169 0.831 0.500
Bi2 Bi 0.334 0.666 0.000
Pu1 Pu 0.000 0.000 0.000
Se1 Se 0.066 0.396 0.200
Se2 Se 0.604 0.934 0.800
Se3 Se 0.737 0.737 0.201
Se4 Se 0.263 0.263 0.799
Rb3 Rb 0.831 0.169 0.500
Se5 Se 0.934 0.604 0.800
Se6 Se 0.396 0.066 0.200
# Uncorrected formation energy, eV per atom: -0.99

(5)
# PBE-GGA Rb2PuBiSe4, relaxed
data_Rb2PuBiSe4
_chemical_formula_sum 'Rb2 Pu1 Bi1 Se4'
_space_group_name_H-M_alt 'P 1'
_space_group_IT_number 1
_cell_length_a 4.345
_cell_length_b 7.556
_cell_length_c 8.361
_cell_angle_alpha 107.44
_cell_angle_beta 90.00
_cell_angle_gamma 90.00
loop_
_space_group_symop_operation_xyz
'x,y,z'
loop_
_atom_site_label
_atom_site_type_symbol
_atom_site_fract_x
_atom_site_fract_y
_atom_site_fract_z
Se1 Se 0.000 0.727 0.197
Se2 Se 0.500 0.763 0.799
Rb1 Rb 0.500 0.000 0.500
Bi1 Bi 0.000 0.000 0.000
Se3 Se 0.500 0.237 0.201
Se4 Se 0.000 0.273 0.803
Rb2 Rb 0.000 0.500 0.500
Pu1 Pu 0.500 0.500 0.000
# Uncorrected formation energy, eV per atom: -1.11

(6)
# PBE-GGA Rb3Pu2BiSe6, relaxed
data_Rb3Pu2BiSe6
_chemical_formula_sum 'Rb3 Pu2 Bi1 Se6'
_space_group_name_H-M_alt 'P 1'
_space_group_IT_number 1
_cell_length_a 7.507
_cell_length_b 7.507
_cell_length_c 8.356
_cell_angle_alpha 98.60
_cell_angle_beta 98.60
_cell_angle_gamma 119.98
loop_
_space_group_symop_operation_xyz
'x,y,z'
loop_
_atom_site_label
_atom_site_type_symbol
_atom_site_fract_x
_atom_site_fract_y
_atom_site_fract_z
Se1 Se 0.406 0.066 0.198
Rb1 Rb 0.164 0.836 0.500
Bi1 Bi 0.000 0.000 0.000
Se2 Se 0.725 0.725 0.197
Se3 Se 0.066 0.406 0.198
Se4 Se 0.275 0.275 0.803
Rb2 Rb 0.836 0.164 0.500
Rb3 Rb 0.500 0.500 0.500
Se5 Se 0.934 0.594 0.802
Pu1 Pu 0.667 0.333 0.000
Pu2 Pu 0.333 0.667 0.000
Se6 Se 0.594 0.934 0.802
# Uncorrected formation energy, eV per atom: -1.22

Q: Which electronic total energy values were calculated for the entries above? A: -23.66, -23.60, -96.36, -57.80, -42.93, -71.02, in eV/cell.